Compound: CsAcAsO4
Source: the Alexandria database
Functional: GGA-PBE
Structure: relaxed

a = 6.740 Å, b = 6.740 Å, c = 6.740 Å
α = 60.00°, β = 60.00°, γ = 60.00°
Fractional coordinates of all 7 atoms:
Cs (0.750, 0.750, 0.750)
Ac (0.500, 0.500, 0.500)
As (0.250, 0.250, 0.250)
O (0.357, 0.357, 0.928)
O (0.357, 0.357, 0.357)
O (0.357, 0.928, 0.357)
O (0.928, 0.357, 0.357)

Output
volume: 217 Å³ per cell
crystal system: cubic
density: 3.83 g/cm³
uncorrected formation energy: -1.8185 eV/atom
magnetization: 0.00 μB/f.u.

=====

Compound: Ho14ThZr
Source: the Alexandria database
Functional: GGA-PBE
Structure: relaxed

a = 7.012 Å, b = 7.012 Å, c = 9.891 Å
α = 90.00°, β = 90.00°, γ = 89.99°
Fractional coordinates of all 16 atoms:
Ho (0.375, 0.625, 0.500)
Ho (0.875, 0.125, 0.500)
Ho (0.875, 0.625, 0.000)
Ho (0.875, 0.625, 0.500)
Ho (0.375, 0.125, 0.000)
Ho (0.375, 0.125, 0.500)
Ho (0.622, 0.872, 0.756)
Ho (0.622, 0.872, 0.244)
Ho (0.128, 0.378, 0.756)
Ho (0.128, 0.378, 0.244)
Ho (0.128, 0.872, 0.756)
Ho (0.128, 0.872, 0.244)
Ho (0.622, 0.378, 0.756)
Ho (0.622, 0.378, 0.244)
Th (0.875, 0.125, 0.000)
Zr (0.375, 0.625, 0.000)

Output
volume: 486 Å³ per cell
crystal system: tetragonal
density: 8.99 g/cm³
DFT formation energy: 0.6 eV/f.u.
magnetization: 0.00 μB/f.u.

=====

Compound: RbHfSb2Te
Source: the Alexandria database
Functional: GGA-PBE
Structure: relaxed

a = 5.700 Å, b = 5.700 Å, c = 5.873 Å
α = 90.00°, β = 90.00°, γ = 90.00°
Fractional coordinates of all 5 atoms:
Sb (0.000, 0.500, 0.000)
Sb (0.500, 0.000, 0.000)
Te (0.000, 0.000, 0.500)
Hf (0.500, 0.500, 0.500)
Rb (0.000, 0.000, 0.000)

Output
volume: 191 Å³ per cell
crystal system: tetragonal
polymorph energy (0 for the lowest one): 1.965 eV/atom
density: 5.53 g/cm³
uncorrected formation energy: 1.6571 eV/atom
magnetization: 0.00 μB/f.u.

=====

Compound: LiSi4Ag
Source: the Alexandria database
Functional: GGA-PBE
Structure: relaxed

a = 5.152 Å, b = 5.152 Å, c = 5.152 Å
α = 60.00°, β = 60.00°, γ = 60.00°
Fractional coordinates of all 6 atoms:
Li (0.000, 0.000, 0.000)
Si (0.625, 0.625, 0.125)
Si (0.625, 0.125, 0.625)
Si (0.625, 0.625, 0.625)
Si (0.125, 0.625, 0.625)
Ag (0.250, 0.250, 0.250)

Output
volume: 97 Å³ per cell
crystal system: cubic
density: 3.90 g/cm³
uncorrected formation energy: 0.2439 eV/atom
magnetization: 0.00 μB/f.u.

=====

Compound: Co5Rh
Source: the Alexandria database
Functional: GGA-PBE
Structure: relaxed

a = 2.577 Å, b = 6.711 Å, c = 4.096 Å
α = 90.00°, β = 90.00°, γ = 78.93°
Site moments in Bohr magnetons follow the coordinates.
Fractional coordinates of all 6 atoms:
Co (0.006, 0.989, 0.000)  1.73
Co (0.668, 0.665, 0.000)  1.72
Co (0.329, 0.341, 0.000)  1.70
Co (0.559, 0.882, 0.500)  1.65
Co (0.217, 0.566, 0.500)  1.65
Rh (0.888, 0.224, 0.500)  0.62

Output
volume: 70 Å³ per cell
crystal system: orthorhombic
density: 9.50 g/cm³
DFT formation energy: 0.2 eV/f.u.
magnetization: 8.92 μB/f.u.

=====

Compound: PuIn3Cl2O6
Source: the Alexandria database
Functional: GGA-PBE
Structure: relaxed

a = 5.374 Å, b = 6.496 Å, c = 6.691 Å
α = 119.04°, β = 79.72°, γ = 90.00°
Site moments in Bohr magnetons follow the coordinates.
Fractional coordinates of all 12 atoms:
Pu (0.500, 0.000, 0.000)  3.50
In (0.000, 0.500, 0.000)  0.00
In (0.500, 0.500, 0.500)  0.01
In (0.500, 0.000, 0.500)  0.01
Cl (0.169, 0.695, 0.391)  0.00
Cl (0.831, 0.305, 0.609)  0.00
O (0.717, 0.319, 0.134)  -0.08
O (0.283, 0.681, 0.866)  -0.08
O (0.675, 0.820, 0.640)  -0.07
O (0.325, 0.180, 0.360)  -0.07
O (0.283, 0.185, 0.866)  -0.08
O (0.717, 0.815, 0.134)  -0.08

Output
volume: 200 Å³ per cell
crystal system: monoclinic
density: 6.27 g/cm³
uncorrected formation energy: -1.5815 eV/atom
magnetization: 3.00 μB/f.u.

=====

Compound: NiSbP2Cl
Source: the Alexandria database
Functional: GGA-PBE
Structure: relaxed

a = 4.557 Å, b = 4.557 Å, c = 4.506 Å
α = 90.00°, β = 90.00°, γ = 90.00°
Fractional coordinates of all 5 atoms:
Sb (0.500, 0.500, 0.500)
Cl (0.000, 0.000, 0.500)
P (0.000, 0.500, 0.000)
P (0.500, 0.000, 0.000)
Ni (0.000, 0.000, 0.000)

Output
volume: 94 Å³ per cell
crystal system: tetragonal
polymorph energy (0 for the lowest one): 0.000 eV/atom
density: 4.93 g/cm³
uncorrected formation energy: 0.3590 eV/atom
magnetization: 0.00 μB/f.u.

=====

Compound: La9ErPb2
Source: the Alexandria database
Functional: GGA-PBE
Structure: relaxed

a = 5.096 Å, b = 5.096 Å, c = 15.543 Å
α = 90.00°, β = 90.00°, γ = 90.00°
Fractional coordinates of all 12 atoms:
La (0.500, 0.500, 0.000)
La (0.500, 0.500, 0.336)
La (0.500, 0.500, 0.664)
La (0.500, 0.000, 0.171)
La (0.500, 0.000, 0.500)
La (0.500, 0.000, 0.829)
La (0.000, 0.500, 0.171)
La (0.000, 0.500, 0.500)
La (0.000, 0.500, 0.829)
Er (0.000, 0.000, 0.000)
Pb (0.000, 0.000, 0.336)
Pb (0.000, 0.000, 0.664)

Output
volume: 404 Å³ per cell
crystal system: tetragonal
density: 7.54 g/cm³
DFT formation energy: -2.8 eV/f.u.
magnetization: 0.00 μB/f.u.

=====

Which value of density does entry 5 give?
9.50 g/cm³

=====

Among the records above, which one has the lowest volume?
Co5Rh

=====

What is the formula in the seventh record?
NiSbP2Cl